# 1
Density functional theory data (GGA-PBE) for NbPPbAu2 after structural relaxation.

Geometry as POSCAR:
```
NbPPbAu2
1.0
4.782 0.000 0.000
0.000 4.782 0.000
0.000 0.000 4.797
Nb P Pb Au
1 1 1 2
Cartesian
0.000 0.000 0.000
0.000 0.000 2.398
2.391 2.391 0.000
0.000 2.391 2.398
2.391 0.000 2.398
```

Computed properties:
spin magnetization = 0.3 μB per formula unit
symmetry = No. 123
calculated total energy = -4.89 eV/atom



# 2
Density functional theory data (GGA-PBE) for Pr2NbO5 after structural relaxation.

Geometry as POSCAR:
```
Pr2NbO5
1.0
11.065 0.000 0.000
0.000 3.924 0.000
0.000 0.000 11.879
Pr Nb O
8 4 20
Cartesian
1.309 0.981 2.715
1.480 0.981 6.652
4.053 2.943 0.712
4.223 2.943 8.655
6.842 0.981 3.224
7.012 0.981 11.166
9.585 2.943 5.227
9.756 2.943 9.163
1.858 0.981 10.527
3.674 2.943 4.587
7.390 0.981 7.291
9.207 2.943 1.352
0.046 2.943 7.154
0.056 0.981 9.937
2.530 0.981 0.559
2.613 2.943 10.540
2.697 2.943 2.799
2.835 0.981 8.738
2.919 0.981 4.601
3.002 2.943 6.499
5.477 2.943 3.997
5.487 0.981 1.214
5.578 2.943 10.664
5.588 0.981 7.881
8.063 0.981 5.380
8.146 2.943 7.278
8.230 2.943 3.141
8.368 0.981 9.080
8.451 0.981 1.339
8.535 2.943 11.320
11.009 2.943 1.942
11.019 0.981 4.725
```

Computed properties:
spin magnetization = 1.0 μB per formula unit
symmetry = No. 62
energy relative to the elements, uncorrected = -2.997 eV per atom
calculated total energy = -8.55 eV/atom



# 3
Density functional theory data (GGA-PBE) for SiSNO2 after structural relaxation.

Geometry as POSCAR:
```
SiSNO2
1.0
3.442 0.000 0.000
0.000 3.442 0.000
0.000 0.000 3.919
Si S N O
1 1 1 2
Cartesian
0.000 0.000 0.000
1.721 1.721 1.960
0.000 0.000 1.960
0.000 1.721 0.000
1.721 0.000 0.000
```

Computed properties:
spin magnetization = 0.0 μB per formula unit
symmetry = No. 123
energy relative to the elements, uncorrected = -0.198 eV per atom
calculated total energy = -5.76 eV/atom



# 4
Density functional theory data (GGA-PBE) for AlSb2Pb after structural relaxation.

Geometry as POSCAR:
```
AlSb2Pb
1.0
6.046 -1.867 0.000
6.046 1.867 0.000
-2.174 0.000 4.709
Al Sb Pb
1 2 1
Cartesian
0.000 0.000 0.000
1.866 0.000 3.767
8.051 0.000 0.942
4.959 0.000 2.354
```

Computed properties:
spin magnetization = 0.0 μB per formula unit
symmetry = No. 12
energy relative to the elements, uncorrected = 0.146 eV per atom
calculated total energy = -3.78 eV/atom



# 5
Density functional theory data (GGA-PBE) for LiNd2Si after structural relaxation.

Geometry as POSCAR:
```
LiNd2Si
1.0
4.913 0.000 0.000
0.000 4.913 0.000
0.000 0.000 4.072
Li Nd Si
1 2 1
Cartesian
0.000 0.000 0.000
0.000 2.456 2.036
2.456 0.000 2.036
2.456 2.456 0.000
```

Computed properties:
spin magnetization = 0.0 μB per formula unit
symmetry = No. 123
energy relative to the elements, uncorrected = -0.307 eV per atom
calculated total energy = -4.52 eV/atom



# 6
Density functional theory data (GGA-PBE) for ScHg after structural relaxation.

Geometry as POSCAR:
```
ScHg
1.0
-1.750 2.446 5.206
1.750 -2.446 5.206
1.750 2.446 -5.206
Sc Hg
2 2
Cartesian
0.000 1.223 1.218
1.750 1.223 3.988
1.750 1.223 -1.375
0.000 1.223 6.581
```

Computed properties:
spin magnetization = 0.0 μB per formula unit
symmetry = No. 74
calculated total energy = -3.61 eV/atom